No. 1
VASP calculation (PBE) on an optimized crystal structure of Tb3Y6Er2Mg.

* calculated formation energy: 34 meV/atom
* crystal system: monoclinic

Geometry as CIF:
```
data_Tb3Y6Er2Mg
_cell_length_a 6.1418
_cell_length_b 6.1418
_cell_length_c 11.6854
_cell_angle_alpha 95.08
_cell_angle_beta 95.08
_cell_angle_gamma 120.04
_space_group_name_H-M_alt 'P 1'
_space_group_IT_number 1
_space_group_name_Hall 'P 1'
loop_
_atom_site_label
_atom_site_fract_x
_atom_site_fract_y
_atom_site_fract_z
_atom_site_occupancy
Tb1 0.0000 0.0000 0.0000 1
Tb2 0.3341 0.6659 0.0000 1
Tb3 0.6659 0.3341 0.0000 1
Y1 0.0864 0.4188 0.2533 1
Y2 0.2485 0.2485 0.7478 1
Y3 0.4188 0.0864 0.2533 1
Y4 0.5812 0.9136 0.7467 1
Y5 0.7515 0.7515 0.2522 1
Y6 0.9136 0.5812 0.7467 1
Er1 0.1662 0.8338 0.5000 1
Er2 0.8338 0.1662 0.5000 1
Mg1 0.5000 0.5000 0.5000 1
```

=====

No. 2
VASP calculation (PBE) on an optimized crystal structure of Ac6InSi2Br3.

* crystal system: monoclinic
* energy relative to the elements, uncorrected: -954 meV/atom

Geometry as CIF:
```
data_Ac6InSi2Br3
_cell_length_a 10.3703
_cell_length_b 10.3703
_cell_length_c 9.3472
_cell_angle_alpha 101.26
_cell_angle_beta 101.26
_cell_angle_gamma 25.64
_space_group_name_H-M_alt 'P 1'
_space_group_IT_number 1
_space_group_name_Hall 'P 1'
loop_
_atom_site_label
_atom_site_fract_x
_atom_site_fract_y
_atom_site_fract_z
_atom_site_occupancy
Ac1 0.0108 0.0108 0.2549 1
Ac2 0.3250 0.3250 0.4316 1
Ac3 0.3341 0.3341 0.8869 1
Ac4 0.6659 0.6659 0.1131 1
Ac5 0.6750 0.6750 0.5684 1
Ac6 0.9892 0.9892 0.7451 1
In1 0.5000 0.5000 0.0000 1
Si1 0.1683 0.1683 0.3390 1
Si2 0.8317 0.8317 0.6610 1
Br1 0.1663 0.1663 0.8347 1
Br2 0.5000 0.5000 0.5000 1
Br3 0.8337 0.8337 0.1653 1
```

=====

No. 3
VASP calculation (PBE) on an optimized crystal structure of Ac2Pu3Se8.

* crystal system: monoclinic
* energy relative to the elements, uncorrected: -1156 meV/atom

Geometry as CIF:
```
data_Ac2Pu3Se8
_cell_length_a 9.9056
_cell_length_b 9.9056
_cell_length_c 9.7926
_cell_angle_alpha 105.96
_cell_angle_beta 105.96
_cell_angle_gamma 54.51
_space_group_name_H-M_alt 'P 1'
_space_group_IT_number 1
_space_group_name_Hall 'P 1'
loop_
_atom_site_label
_atom_site_fract_x
_atom_site_fract_y
_atom_site_fract_z
_atom_site_occupancy
Ac1 0.2072 0.2072 0.4097 1
Ac2 0.7928 0.7928 0.5903 1
Pu1 0.0000 0.0000 0.0000 1
Pu2 0.2159 0.7841 0.5000 1
Pu3 0.7841 0.2159 0.5000 1
Se1 0.0101 0.0101 0.3003 1
Se2 0.1089 0.5711 0.4350 1
Se3 0.1576 0.1576 0.0842 1
Se4 0.4289 0.8911 0.5650 1
Se5 0.5711 0.1089 0.4350 1
Se6 0.8424 0.8424 0.9158 1
Se7 0.8911 0.4289 0.5650 1
Se8 0.9899 0.9899 0.6997 1
```

=====

no.,density (g cm⁻³),final energy (eV per cell)
1,6.1,-63.0
2,6.9,-54.7
3,4.1,-94.1